1.
DFT (PBE) results for an optimized crystal structure of BaTlZn2O4.

```
8
Lattice="-2.637 2.637 4.897 2.637 -2.637 4.897 2.637 2.637 -4.897" Properties=species:S:1:pos:R:3 pbc="T T T"
Ba 0.000 0.000 0.000
Tl 0.000 0.000 4.897
Zn 2.637 0.000 2.448
Zn 0.000 2.637 2.448
O 1.428 1.428 -1.582
O 1.210 -1.210 6.479
O 1.210 1.210 3.315
O -1.210 1.210 6.479
```

DFT total energy, eV per atom: -4.681
E_form (uncorrected), eV per atom: -1.35
Total moment, Bohr magnetons per cell: 0.0
Symmetry: I-42m, No. 121



2.
DFT (PBE) results for an optimized crystal structure of Ba3Tl2ZnO6.

```
12
Lattice="6.156 0.000 0.000 -3.078 5.331 0.000 0.000 0.000 6.937" Properties=species:S:1:pos:R:3 pbc="T T T"
Ba 0.000 0.000 0.000
Ba 0.000 3.554 4.289
Ba 3.078 1.777 2.648
Tl 0.000 3.554 0.964
Tl 3.078 1.777 5.973
Zn 0.000 0.000 3.468
O 0.000 1.712 2.208
O -1.596 4.475 2.208
O 1.482 0.856 4.729
O 1.596 4.475 2.208
O 4.674 0.856 4.729
O 3.078 3.620 4.729
```

DFT total energy, eV per atom: -5.028
E_form (uncorrected), eV per atom: -1.57
Total moment, Bohr magnetons per cell: 0.0
Symmetry: P-3m1, No. 164